Entry 1:
NiHgTeI2 | PBE | optimized geometry

Summary:
**E above lowest polymorph**: 342 kJ/mol of formula units
**Crystal system**: tetragonal
**Uncorrected formation energy**: 0.924 eV per atom
**DOS(E_F)**: 1.638 states/eV/atom
**Total moment**: 0.332 μB per atom

Cell: 5.8604 5.8604 5.7266 Å, 90.00 90.00 90.00°
Space group P4/mmm (No. 123)
Inequivalent atoms, fractional coordinates:
Ni: 0.0000 0.0000 0.0000
Hg: 0.5000 0.5000 0.5000
Te: 0.5000 0.5000 0.0000
I: 0.0000 0.5000 0.5000



Entry 2:
Cd8Ag3Pt2 | PBE | optimized geometry

Summary:
**E_form**: -10.9 kJ/mol of atoms
**Crystal system**: monoclinic
**DOS(E_F)**: 0.258 states/eV/atom
**Total moment**: 0.000 μB per atom

Cell: 12.3640 8.1523 5.5133 Å, 90.00 97.15 90.00°
Space group C2/m (No. 12)
Inequivalent atoms, fractional coordinates:
Cd: 0.0927 0.0000 0.3723
Cd: 0.1244 0.1927 0.9203
Cd: 0.1933 0.5000 0.3368
Ag: 0.0000 0.3276 0.5000
Ag: 0.0000 0.5000 0.0000
Pt: 0.2089 0.5000 0.8332



Entry 3:
CsVS2 | PBE | optimized geometry

Summary:
**Crystal system**: monoclinic
**Uncorrected formation energy**: -1.105 eV per atom
**DOS(E_F)**: 0.585 states/eV/atom
**Total moment**: 0.114 μB per atom

Cell: 7.7322 5.6028 7.7334 Å, 90.00 90.24 90.00°
Space group P2/m (No. 10)
Inequivalent atoms, fractional coordinates:
Cs: 0.0000 0.0000 0.0000
Cs: 0.5000 0.5000 0.5000
V: 0.0000 0.2501 0.5000
S: 0.0818 0.5000 0.7126
S: 0.2126 0.0000 0.4189